[1]
MnGe2HO6: optimized geometry, PBE with a Hubbard U.

a b c (Å): 6.6050 6.6050 5.6652
angles (deg): 100.52 100.52 87.85
Positions (direct):
Mn: 0.1114 0.8886 0.7500
Mn: 0.8886 0.1114 0.2500
Ge: 0.2075 0.3879 0.7817
Ge: 0.3879 0.2075 0.2817
Ge: 0.6121 0.7925 0.7183
Ge: 0.7925 0.6121 0.2183
H: 0.1212 0.8788 0.2500
H: 0.8788 0.1212 0.7500
O: 0.0237 0.1781 0.6694
O: 0.0855 0.6267 0.8254
O: 0.1781 0.0237 0.1694
O: 0.3442 0.3810 0.5412
O: 0.3733 0.9145 0.6746
O: 0.3810 0.3442 0.0412
O: 0.6190 0.6558 0.9588
O: 0.6267 0.0855 0.3254
O: 0.6558 0.6190 0.4588
O: 0.8219 0.9763 0.8306
O: 0.9145 0.3733 0.1746
O: 0.9763 0.8219 0.3306

As for the total magnetization: 4.0 μB per formula unit. As for the total energy: -6.406 eV per atom. As for the symmetry: C2/c (15). The theoretical density is 4.132 g/cm3.

[2]
Mn4GeP4H12O22: optimized geometry, PBE with a Hubbard U.

a b c (Å): 6.6481 16.7763 9.3447
angles (deg): 90.00 124.21 90.00
Positions (direct):
Mn: 0.0735 0.1384 0.2477
Mn: 0.0735 0.3616 0.7477
Mn: 0.3995 0.7290 0.9782
Mn: 0.3995 0.7710 0.4782
Mn: 0.6005 0.2290 0.5218
Mn: 0.6005 0.2710 0.0218
Mn: 0.9265 0.6384 0.2523
Mn: 0.9265 0.8616 0.7523
Ge: 0.0000 0.0000 0.5000
Ge: 0.0000 0.5000 0.0000
P: 0.1727 0.1869 0.6269
P: 0.1727 0.3131 0.1269
P: 0.4363 0.6088 0.2812
P: 0.4363 0.8912 0.7812
P: 0.5637 0.1088 0.2188
P: 0.5637 0.3912 0.7188
P: 0.8273 0.6869 0.8731
P: 0.8273 0.8131 0.3731
H: 0.0901 0.6193 0.7728
H: 0.0901 0.8807 0.2728
H: 0.0922 0.6829 0.6459
H: 0.0922 0.8171 0.1459
H: 0.2092 0.5089 0.4820
H: 0.2092 0.5817 0.5932
H: 0.2092 0.9183 0.0932
H: 0.2092 0.9911 0.9820
H: 0.3388 0.0340 0.4985
H: 0.3388 0.4660 0.9985
H: 0.3593 0.1217 0.9364
H: 0.3593 0.3783 0.4364
H: 0.6407 0.6217 0.5636
H: 0.6407 0.8783 0.0636
H: 0.6612 0.5340 0.0015
H: 0.6612 0.9660 0.5015
H: 0.7908 0.0089 0.0180
H: 0.7908 0.0817 0.9068
H: 0.7908 0.4183 0.4068
H: 0.7908 0.4911 0.5180
H: 0.9078 0.1829 0.8541
H: 0.9078 0.3171 0.3541
H: 0.9099 0.1193 0.7272
H: 0.9099 0.3807 0.2272
O: 0.0140 0.7451 0.4134
O: 0.0140 0.7549 0.9134
O: 0.0264 0.1069 0.5908
O: 0.0264 0.3931 0.0908
O: 0.1457 0.5629 0.4752
O: 0.1457 0.9371 0.9752
O: 0.1690 0.0283 0.4018
O: 0.1690 0.4717 0.9018
O: 0.1959 0.6474 0.7452
O: 0.1959 0.8526 0.2452
O: 0.2654 0.1953 0.5088
O: 0.2654 0.3047 0.0088
O: 0.2766 0.6734 0.2866
O: 0.2766 0.8266 0.7866
O: 0.3016 0.5277 0.2124
O: 0.3016 0.9723 0.7124
O: 0.3432 0.0905 0.0243
O: 0.3432 0.4095 0.5243
O: 0.3830 0.1856 0.8208
O: 0.3830 0.3144 0.3208
O: 0.4549 0.1356 0.3193
O: 0.4549 0.3644 0.8193
O: 0.5451 0.6356 0.1807
O: 0.5451 0.8644 0.6807
O: 0.6170 0.6856 0.6792
O: 0.6170 0.8144 0.1792
O: 0.6568 0.5905 0.4757
O: 0.6568 0.9095 0.9757
O: 0.6984 0.0277 0.2876
O: 0.6984 0.4723 0.7876
O: 0.7234 0.1734 0.2134
O: 0.7234 0.3266 0.7134
O: 0.7346 0.6953 0.9912
O: 0.7346 0.8047 0.4912
O: 0.8041 0.1474 0.7548
O: 0.8041 0.3526 0.2548
O: 0.8310 0.5283 0.0982
O: 0.8310 0.9717 0.5982
O: 0.8543 0.0629 0.0248
O: 0.8543 0.4371 0.5248
O: 0.9736 0.6069 0.9092
O: 0.9736 0.8931 0.4092
O: 0.9860 0.2451 0.0866
O: 0.9860 0.2549 0.5866

As for the total magnetization: 20.0 μB per formula unit. As for the total energy: -6.423 eV per atom. As for the symmetry: P2_1/c (14). The theoretical density is 3.007 g/cm3.